VASP calculation (GGA-PBEsol) on an optimized crystal structure of Ba2AlInO5.

Cell lengths 5.8524, 5.8524, 19.7855 Å; angles 90.00, 90.00, 120.00 degrees
Space group P6_3/mmc (No. 194)
Inequivalent atoms, fractional coordinates:
Ba 0.0000 0.0000 0.0000 [2 per cell]
Ba 0.3333 0.6667 0.1055 [4 per cell]
Ba 0.3333 0.6667 0.7500 [2 per cell]
Al 0.0000 0.0000 0.1630 [4 per cell]
In 0.3333 0.6667 0.5667 [4 per cell]
O 0.0000 0.0000 0.2500 [2 per cell]
O 0.0000 0.5000 0.0000 [6 per cell]
O 0.1641 0.3282 0.6340 [12 per cell]

Magnetization, Bohr magnetons per cell: 0.00
Raw formation energy, meV/atom: -2520
Density of states at the Fermi level, states/eV per cell: 0.00
V, Å³/cell: 586.9